Entry 1:
The following is a GGA-PBEsol calculation of a relaxed structure of K2HgCl4, from the Alexandria database.

Computed properties:
Energy relative to the elements, uncorrected, eV/atom: -1.380

Unit cell a=7.6678 b=8.7654 c=11.7188 alpha=90.00 beta=90.00 gamma=90.00
Fractional coordinates of all 28 atoms:
Cl 0.3765 0.2500 0.6945
Cl 0.7248 0.0000 0.5586
Cl 0.1235 0.7500 0.1945
Hg 0.5000 0.2500 0.5000
Cl 0.6235 0.2500 0.3055
K 0.4095 0.5000 0.1797
K 0.9095 0.0000 0.3200
Cl 0.8765 0.2500 0.8055
K 0.4095 0.0000 0.1800
Cl 0.8765 0.7500 0.8055
K 0.0905 0.0000 0.6800
K 0.5905 0.0000 0.8200
Cl 0.2752 0.0000 0.4414
K 0.5905 0.5000 0.8203
Cl 0.7246 0.5000 0.5588
Cl 0.1235 0.2500 0.1945
K 0.9095 0.5000 0.3203
Cl 0.7754 0.5000 0.0588
Cl 0.2246 0.5000 0.9412
Hg 0.0000 0.2500 0.0000
Hg 0.0000 0.7500 0.0000
Hg 0.5000 0.7500 0.5000
Cl 0.2248 0.0000 0.9414
Cl 0.6235 0.7500 0.3055
Cl 0.3765 0.7500 0.6945
Cl 0.7752 0.0000 0.0586
K 0.0905 0.5000 0.6797
Cl 0.2754 0.5000 0.4412

***

Entry 2:
The following is a GGA-PBEsol calculation of a relaxed structure of LiCaHg, from the Alexandria database.

Computed properties:
Energy of formation, eV/atom: -0.386
Polymorph energy (0 for the lowest one), eV per atom: 0.058

Unit cell a=3.7818 b=4.7217 c=4.7217 alpha=120.00 beta=90.00 gamma=90.00
Fractional coordinates of all 3 atoms:
Hg 0.5000 0.3333 0.6667
Li 0.5000 0.6667 0.3333
Ca 0.0000 0.0000 0.0000

***

Entry 3:
The following is a GGA-PBEsol calculation of a relaxed structure of CuH6C2O7, from the Alexandria database.

Computed properties:
Total energy, eV for the cell shown: -384.68

Unit cell a=6.3697 b=9.5484 c=9.8457 alpha=90.00 beta=90.00 gamma=90.00
Last column: magnetic moment on the atom in μB.
Fractional coordinates of all 64 atoms:
H 0.8046 0.3862 0.7749  0.00
O 0.3309 0.3528 0.0105  0.08
O 0.3274 0.8281 0.7047  0.06
H 0.8046 0.6138 0.7251  0.00
H 0.0742 0.5211 0.8264  0.00
O 0.2881 0.9418 0.4031  0.02
H 0.0742 0.4789 0.6736  0.00
H 0.9258 0.0211 0.6736  0.00
H 0.0742 0.9789 0.3264  0.00
H 0.6999 0.2387 0.3709  0.00
O 0.6726 0.3281 0.7953  0.06
O 0.6691 0.3528 0.5105  0.08
H 0.6999 0.2613 0.8709  0.00
C 0.3918 0.9751 0.0249  0.00
O 0.7119 0.9418 0.9031  0.02
H 0.1954 0.6138 0.2251  0.00
O 0.6726 0.1719 0.2953  0.06
O 0.6691 0.1472 0.0105  0.08
O 0.3274 0.1719 0.7953  0.06
O 0.0280 0.5000 0.2500  0.00
H 0.1954 0.1138 0.7749  0.00
H 0.3001 0.7613 0.6291  0.00
H 0.1954 0.3862 0.2749  0.00
C 0.6082 0.0249 0.9751  0.00
O 0.6691 0.8528 0.4895  0.08
Cu 0.5000 0.2500 0.1485  0.66
Cu 0.5000 0.7500 0.3515  0.66
O 0.7119 0.4418 0.0969  0.02
O 0.3274 0.6719 0.2047  0.06
O 0.3309 0.6472 0.4895  0.08
O 0.3274 0.3281 0.2953  0.06
O 0.9720 0.5000 0.7500  0.00
Cu 0.5000 0.2500 0.6485  0.66
O 0.0280 0.0000 0.7500  0.00
H 0.8046 0.8862 0.2251  0.00
O 0.7119 0.5582 0.4031  0.02
O 0.2881 0.5582 0.9031  0.02
O 0.3309 0.1472 0.5105  0.08
H 0.9258 0.9789 0.8264  0.00
O 0.6691 0.6472 0.9895  0.08
H 0.9258 0.4789 0.1736  0.00
C 0.6082 0.5249 0.0249  0.00
O 0.9720 0.0000 0.2500  0.00
H 0.1954 0.8862 0.7251  0.00
O 0.3309 0.8528 0.9895  0.08
H 0.3001 0.7387 0.1291  0.00
O 0.2881 0.0582 0.0969  0.02
H 0.3001 0.2387 0.8709  0.00
Cu 0.5000 0.7500 0.8515  0.66
H 0.3001 0.2613 0.3709  0.00
C 0.3918 0.4751 0.9751  0.00
O 0.7119 0.0582 0.5969  0.02
H 0.0742 0.0211 0.1736  0.00
H 0.6999 0.7387 0.6291  0.00
H 0.9258 0.5211 0.3264  0.00
H 0.8046 0.1138 0.2749  0.00
C 0.3918 0.5249 0.5249  0.00
C 0.6082 0.4751 0.4751  0.00
O 0.6726 0.6719 0.7047  0.06
O 0.6726 0.8281 0.2047  0.06
O 0.2881 0.4418 0.5969  0.02
H 0.6999 0.7613 0.1291  0.00
C 0.6082 0.9751 0.5249  0.00
C 0.3918 0.0249 0.4751  0.00

***

Entry 4:
The following is a GGA-PBEsol calculation of a relaxed structure of Te2SO4F6, from the Alexandria database.

Computed properties:
Energy relative to the elements, uncorrected, eV/atom: -1.754

Unit cell a=8.9339 b=8.8055 c=9.8470 alpha=90.00 beta=90.00 gamma=90.00
Fractional coordinates of all 52 atoms:
S 0.3371 0.5418 0.7136
F 0.0777 0.9571 0.9402
F 0.5764 0.2826 0.2729
F 0.4236 0.7826 0.2271
O 0.5442 0.1550 0.8228
O 0.4558 0.6550 0.6772
Te 0.4418 0.3287 0.4160
S 0.1629 0.4582 0.2136
F 0.5037 0.0346 0.1011
O 0.0442 0.3450 0.1772
F 0.1112 0.1982 0.4697
F 0.6112 0.3018 0.5303
O 0.8645 0.0134 0.1453
F 0.0037 0.4654 0.8989
O 0.8125 0.1155 0.7867
O 0.9558 0.8450 0.3228
O 0.6620 0.9141 0.8827
F 0.2674 0.7833 0.4670
Te 0.4566 0.8494 0.5352
O 0.8380 0.0859 0.3827
Te 0.9566 0.6506 0.4648
F 0.9963 0.9654 0.6011
O 0.1355 0.5134 0.3547
F 0.3888 0.8018 0.9697
F 0.0764 0.2174 0.7271
O 0.1875 0.6155 0.7133
O 0.3380 0.4141 0.6173
O 0.1620 0.5859 0.1173
F 0.4223 0.0429 0.4402
F 0.9236 0.7174 0.7729
F 0.4963 0.5346 0.3989
F 0.7326 0.2833 0.0330
F 0.7674 0.7167 0.5330
F 0.1558 0.0642 0.1756
S 0.8371 0.9582 0.2864
Te 0.5434 0.3494 0.9648
Te 0.9418 0.1713 0.5840
Te 0.5582 0.8287 0.0840
O 0.6355 0.9866 0.6453
Te 0.0582 0.6713 0.9160
S 0.6629 0.0418 0.7864
F 0.2326 0.2167 0.9670
O 0.3645 0.4866 0.8547
F 0.6558 0.4358 0.8244
O 0.6875 0.8845 0.2867
F 0.9223 0.4571 0.5598
Te 0.0434 0.1506 0.0352
F 0.8442 0.5642 0.3244
F 0.5777 0.5429 0.0598
F 0.8888 0.6982 0.0303
F 0.3442 0.9358 0.6756
O 0.3125 0.3845 0.2133

***

Entry 5:
The following is a GGA-PBEsol calculation of a relaxed structure of LiMg3, from the Alexandria database.

Computed properties:
Energy of formation, eV/atom: -0.028

Unit cell a=3.1481 b=3.1481 c=9.9451 alpha=90.00 beta=90.00 gamma=120.00
Fractional coordinates of all 4 atoms:
Mg 0.6667 0.3333 0.2419
Li 0.0000 0.0000 0.0000
Mg 0.6667 0.3333 0.7581
Mg 0.0000 0.0000 0.5000

***

Entry 6:
The following is a GGA-PBEsol calculation of a relaxed structure of MnCoSi2, from the Alexandria database.

Computed properties:
Energy relative to the elements, uncorrected, eV/atom: -0.541
Polymorph energy (0 for the lowest one), eV per atom: 0.061

Unit cell a=2.7660 b=2.7660 c=5.4574 alpha=90.00 beta=90.00 gamma=90.00
Fractional coordinates of all 4 atoms:
Co 0.5000 0.5000 0.0000
Si 0.0000 0.0000 0.2578
Si 0.0000 0.0000 0.7422
Mn 0.5000 0.5000 0.5000

***

Entry 7:
The following is a GGA-PBEsol calculation of a relaxed structure of Sc2H5, from the Alexandria database.

Computed properties:
Total energy, eV for the cell shown: -67.10

Unit cell a=3.2958 b=5.6581 c=5.9096 alpha=90.00 beta=90.00 gamma=90.00
Fractional coordinates of all 14 atoms:
H 0.0000 0.1027 0.1589
H 0.0000 0.4364 0.3425
H 0.5000 0.8973 0.6589
Sc 0.5000 0.9124 0.0000
H 0.5000 0.5636 0.1575
H 0.5000 0.8973 0.3411
H 0.5000 0.2449 0.5000
H 0.0000 0.4364 0.6575
Sc 0.0000 0.4240 0.0000
Sc 0.0000 0.0876 0.5000
H 0.5000 0.5636 0.8425
H 0.0000 0.1027 0.8411
H 0.0000 0.7551 0.0000
Sc 0.5000 0.5760 0.5000

***

Entry 8:
The following is a GGA-PBEsol calculation of a relaxed structure of BaScW2, from the Alexandria database.

Computed properties:
Energy of formation, eV/atom: 1.210
Polymorph energy (0 for the lowest one), eV per atom: 0.701

Unit cell a=2.9414 b=5.3477 c=5.8796 alpha=114.43 beta=100.09 gamma=99.48
Fractional coordinates of all 4 atoms:
W 0.0000 0.0000 0.5000
W 0.5000 0.5000 0.5000
Sc 0.5000 0.0000 0.0000
Ba 0.0000 0.5000 0.0000

***

Entry 9:
The following is a GGA-PBEsol calculation of a relaxed structure of Al2Si, from the Alexandria database.

Computed properties:
Energy relative to the elements, uncorrected, eV/atom: 0.108

Unit cell a=2.7887 b=2.7887 c=6.2307 alpha=102.93 beta=102.93 gamma=90.00
Fractional coordinates of all 3 atoms:
Al 0.3353 0.3353 0.6706
Si 0.0000 0.0000 0.0000
Al 0.6647 0.6647 0.3294

***

Entry 10:
The following is a GGA-PBEsol calculation of a relaxed structure of AgRu2Br, from the Alexandria database.

Computed properties:
Energy relative to the elements, uncorrected, eV/atom: 1.021
Polymorph energy (0 for the lowest one), eV per atom: 0.238

Unit cell a=4.4999 b=4.4999 c=3.0070 alpha=90.00 beta=90.00 gamma=90.00
Last column: magnetic moment on the atom in μB.
Fractional coordinates of all 4 atoms:
Ag 0.5000 0.5000 0.5000  0.04
Ru 0.5000 0.0000 0.0000  0.24
Br 0.0000 0.0000 0.5000  0.01
Ru 0.0000 0.5000 0.0000  0.24

***

Entry 11:
The following is a GGA-PBEsol calculation of a relaxed structure of Ta2MoW, from the Alexandria database.

Computed properties:
Energy of formation, eV/atom: -0.110

Unit cell a=3.1846 b=3.1846 c=6.4663 alpha=90.00 beta=90.00 gamma=90.00
Fractional coordinates of all 4 atoms:
Ta 0.0000 0.0000 0.9930
Ta 0.5000 0.5000 0.2555
W 0.0000 0.0000 0.5071
Mo 0.5000 0.5000 0.7444

***

Entry 12:
The following is a GGA-PBEsol calculation of a relaxed structure of Li2YAu2, from the Alexandria database.

Computed properties:
Energy of formation, eV/atom: -0.593
Polymorph energy (0 for the lowest one), eV per atom: 0.000

Unit cell a=3.7605 b=3.7605 c=7.1732 alpha=105.20 beta=105.20 gamma=90.00
Fractional coordinates of all 5 atoms:
Li 0.2500 0.7500 0.5000
Y 0.0000 0.0000 0.0000
Au 0.6064 0.6064 0.2128
Li 0.7500 0.2500 0.5000
Au 0.3936 0.3936 0.7872

***

Result set for DOS(E_F): 0.00; 1.71; 0.32; 0.00; 1.54; 2.66; 3.17; 4.61; 1.35; 5.75; 2.41; 2.02 states/eV/cell, one per record in the order listed.